Computed, not measured: TlV3Zn after structural relaxation at the GGA-PBE level of DFT.

Summary:
symmetry: Pm-3m, No. 221
raw total energy: -22.06 eV per formula unit

a = 5.1465 Å, b = 5.1465 Å, c = 5.1465 Å
α = 90.00°, β = 90.00°, γ = 90.00°
Atoms (fractional coordinates):
Tl 0.0000 0.0000 0.0000
V 0.0000 0.0000 0.5000
V 0.0000 0.5000 0.0000
V 0.5000 0.0000 0.0000
Zn 0.5000 0.5000 0.5000